# TaFeP4

An optimized crystal structure of TaFeP4 (PBE, Alexandria via LeMat-Bulk).

POSCAR file:
```
TaFeP4
1.0
0.0000 3.4706 3.4706
3.4706 0.0000 3.4706
3.4706 3.4706 0.0000
Ta Fe P
1 1 4
direct
0.7500 0.7500 0.7500 Ta
0.0000 0.0000 0.0000 Fe
0.8762 0.3746 0.3746 P
0.3746 0.3746 0.8762 P
0.3746 0.8762 0.3746 P
0.3746 0.3746 0.3746 P
```

As for the density of states at the Fermi level: 0.667 states/eV/atom. The space group is No. 216. The total energy is -6.40 eV/atom. The calculation puts the energy relative to the elements at 3.55 eV/f.u. The mass density comes out at 7.16 g/cm3. As for the magnetic moment: 2.0 μB per formula unit. As for the calculated volume: 84 Å³/f.u.